{"formula": "TlFeBrF2", "functional": "PBE with a Hubbard U", "state": "relaxed", "lattice": [[4.348, 0.000, 0.000], [0.000, 4.348, 0.000], [0.000, 0.000, 5.296]], "species": ["Fe", "F", "F", "Br", "Tl"], "frac_coords": [[0.000, 0.000, 0.000], [0.500, 0.000, 0.000], [0.000, 0.500, 0.000], [0.000, 0.000, 0.500], [0.500, 0.500, 0.500]], "sg": "P4/mmm (123)", "polymorph_energy_mev_per_atom": 239}